Entry 1:
A plane-wave DFT calculation with GGA-PBEsol was carried out for a geometry-optimized CaP2H5NO7 structure. Values from VASP.

```
&SYSTEM
  ibrav = 0, nat = 128, ntyp = 5
/
ATOMIC_SPECIES
Ca 40.08 Ca.upf
P 30.97 P.upf
H 1.01 H.upf
N 14.01 N.upf
O 16.00 O.upf
CELL_PARAMETERS angstrom
7.244 0.000 0.000
0.000 17.577 0.000
-7.031 0.000 10.522
ATOMIC_POSITIONS crystal
Ca 0.146 0.222 0.158
Ca 0.146 0.278 0.658
Ca 0.276 0.745 0.766
Ca 0.276 0.755 0.266
Ca 0.724 0.245 0.734
Ca 0.724 0.255 0.234
Ca 0.854 0.722 0.342
Ca 0.854 0.778 0.842
P 0.011 0.082 0.300
P 0.011 0.418 0.800
P 0.266 0.162 0.934
P 0.266 0.338 0.434
P 0.307 0.104 0.584
P 0.307 0.396 0.084
P 0.347 0.708 0.560
P 0.347 0.792 0.060
P 0.653 0.208 0.940
P 0.653 0.292 0.440
P 0.693 0.604 0.916
P 0.693 0.896 0.416
P 0.734 0.662 0.566
P 0.734 0.838 0.066
P 0.989 0.582 0.200
P 0.989 0.918 0.700
H 0.126 0.621 0.970
H 0.126 0.879 0.470
H 0.133 0.049 0.837
H 0.133 0.451 0.337
H 0.182 0.016 0.687
H 0.182 0.484 0.187
H 0.184 0.023 0.162
H 0.184 0.477 0.662
H 0.203 0.566 0.608
H 0.203 0.934 0.108
H 0.257 0.017 0.057
H 0.257 0.483 0.557
H 0.310 0.551 0.059
H 0.310 0.949 0.559
H 0.344 0.604 0.954
H 0.344 0.896 0.454
H 0.385 0.645 0.087
H 0.385 0.855 0.587
H 0.433 0.515 0.711
H 0.433 0.985 0.211
H 0.567 0.015 0.789
H 0.567 0.485 0.289
H 0.615 0.145 0.413
H 0.615 0.355 0.913
H 0.656 0.104 0.546
H 0.656 0.396 0.046
H 0.690 0.051 0.441
H 0.690 0.449 0.941
H 0.743 0.517 0.443
H 0.743 0.983 0.943
H 0.797 0.066 0.892
H 0.797 0.434 0.392
H 0.816 0.523 0.338
H 0.816 0.977 0.838
H 0.818 0.516 0.813
H 0.818 0.984 0.313
H 0.867 0.549 0.663
H 0.867 0.951 0.163
H 0.874 0.121 0.530
H 0.874 0.379 0.030
N 0.267 0.511 0.633
N 0.267 0.989 0.133
N 0.293 0.604 0.017
N 0.293 0.896 0.517
N 0.707 0.104 0.483
N 0.707 0.396 0.983
N 0.733 0.011 0.867
N 0.733 0.489 0.367
O 0.074 0.003 0.724
O 0.074 0.497 0.224
O 0.096 0.099 0.216
O 0.096 0.401 0.716
O 0.108 0.211 0.820
O 0.108 0.289 0.320
O 0.141 0.158 0.580
O 0.141 0.342 0.080
O 0.156 0.634 0.206
O 0.156 0.866 0.706
O 0.174 0.669 0.574
O 0.174 0.831 0.074
O 0.177 0.078 0.920
O 0.177 0.422 0.420
O 0.231 0.078 0.443
O 0.231 0.422 0.943
O 0.235 0.746 0.430
O 0.235 0.754 0.930
O 0.311 0.027 0.648
O 0.311 0.473 0.148
O 0.345 0.191 0.065
O 0.345 0.309 0.565
O 0.459 0.632 0.858
O 0.459 0.868 0.358
O 0.482 0.145 0.928
O 0.482 0.355 0.428
O 0.483 0.735 0.170
O 0.483 0.765 0.670
O 0.517 0.235 0.330
O 0.517 0.265 0.830
O 0.518 0.645 0.572
O 0.518 0.855 0.072
O 0.541 0.132 0.642
O 0.541 0.368 0.142
O 0.655 0.691 0.435
O 0.655 0.809 0.935
O 0.689 0.527 0.852
O 0.689 0.973 0.352
O 0.765 0.246 0.070
O 0.765 0.254 0.570
O 0.769 0.578 0.057
O 0.769 0.922 0.557
O 0.823 0.578 0.580
O 0.823 0.922 0.080
O 0.826 0.169 0.926
O 0.826 0.331 0.426
O 0.844 0.134 0.294
O 0.844 0.366 0.794
O 0.859 0.658 0.920
O 0.859 0.842 0.420
O 0.892 0.711 0.680
O 0.892 0.789 0.180
O 0.904 0.599 0.284
O 0.904 0.901 0.784
O 0.926 0.503 0.776
O 0.926 0.997 0.276
```

Total magnetic moment: 0.000 Bohr magnetons per cell
Uncorrected energy: -0.240 hartree per atom

Entry 2:
A plane-wave DFT calculation with GGA-PBEsol was carried out for a geometry-optimized InOs2Pt structure. Values from VASP.

```
&SYSTEM
  ibrav = 0, nat = 4, ntyp = 3
/
ATOMIC_SPECIES
In 114.82 In.upf
Os 190.23 Os.upf
Pt 195.08 Pt.upf
CELL_PARAMETERS angstrom
-1.996 1.996 3.847
1.996 -1.996 3.847
1.996 1.996 -3.847
ATOMIC_POSITIONS crystal
In 0.000 0.000 0.000
Os 0.500 0.500 0.000
Os 0.750 0.250 0.500
Pt 0.250 0.750 0.500
```

Total magnetic moment: 0.000 Bohr magnetons per cell
Distance to the lowest polymorph of the same formula: 0.000 eV per atom
Energy of formation: 312 meV/atom

Entry 3:
A plane-wave DFT calculation with GGA-PBEsol was carried out for a geometry-optimized BeCo2Mo structure. Values from VASP.

```
&SYSTEM
  ibrav = 0, nat = 4, ntyp = 3
/
ATOMIC_SPECIES
Be 9.01 Be.upf
Co 58.93 Co.upf
Mo 95.94 Mo.upf
CELL_PARAMETERS angstrom
2.628 -3.220 0.000
2.628 3.220 0.000
0.000 0.000 2.614
ATOMIC_POSITIONS crystal
Be 0.000 0.000 0.000
Co 0.000 0.500 0.500
Co 0.500 0.000 0.500
Mo 0.500 0.500 0.000
```

Total magnetic moment: 0.001 Bohr magnetons per cell
Energy of formation: 63 meV/atom

Entry 4:
A plane-wave DFT calculation with GGA-PBEsol was carried out for a geometry-optimized Fe2NiRh structure. Values from VASP.

```
&SYSTEM
  ibrav = 0, nat = 4, ntyp = 3
/
ATOMIC_SPECIES
Fe 55.84 Fe.upf
Ni 58.69 Ni.upf
Rh 102.91 Rh.upf
CELL_PARAMETERS angstrom
2.524 0.000 0.000
0.000 3.927 0.000
-1.194 0.000 4.788
ATOMIC_POSITIONS crystal
Fe 0.000 0.000 0.000
Fe 0.175 0.500 0.749
Ni 0.785 0.500 0.230
Rh 0.453 0.000 0.503
```

Total magnetic moment: 6.666 Bohr magnetons per cell
Energy of formation: 98 meV/atom

Entry 5:
A plane-wave DFT calculation with GGA-PBEsol was carried out for a geometry-optimized SmBiO4 structure. Values from VASP.

```
&SYSTEM
  ibrav = 0, nat = 12, ntyp = 3
/
ATOMIC_SPECIES
Sm 150.36 Sm.upf
Bi 208.98 Bi.upf
O 16.00 O.upf
CELL_PARAMETERS angstrom
3.636 -5.603 0.000
3.636 5.603 0.000
-3.415 0.000 4.042
ATOMIC_POSITIONS crystal
Sm 0.136 0.864 0.750
Sm 0.864 0.136 0.250
Bi 0.400 0.600 0.250
Bi 0.600 0.400 0.750
O 0.108 0.548 0.330
O 0.232 0.285 0.763
O 0.285 0.232 0.263
O 0.452 0.892 0.170
O 0.548 0.108 0.830
O 0.715 0.768 0.737
O 0.768 0.715 0.237
O 0.892 0.452 0.670
```

Total magnetic moment: 0.000 Bohr magnetons per cell
Uncorrected energy: -0.260 hartree per atom

Entry 6:
A plane-wave DFT calculation with GGA-PBEsol was carried out for a geometry-optimized Sc7CI12 structure. Values from VASP.

```
&SYSTEM
  ibrav = 0, nat = 20, ntyp = 3
/
ATOMIC_SPECIES
Sc 44.96 Sc.upf
C 12.01 C.upf
I 126.90 I.upf
CELL_PARAMETERS angstrom
7.293 4.211 3.235
-7.293 4.211 3.235
0.000 -8.421 3.235
ATOMIC_POSITIONS crystal
Sc 0.000 0.000 0.000
Sc 0.194 0.438 0.377
Sc 0.377 0.194 0.438
Sc 0.438 0.377 0.194
Sc 0.500 0.563 0.751
Sc 0.563 0.751 0.500
Sc 0.751 0.500 0.563
C 0.475 0.475 0.475
I 0.009 0.089 0.332
I 0.089 0.332 0.009
I 0.165 0.552 0.699
I 0.245 0.782 0.399
I 0.332 0.009 0.089
I 0.399 0.245 0.782
I 0.552 0.699 0.165
I 0.632 0.936 0.861
I 0.699 0.165 0.552
I 0.782 0.399 0.245
I 0.861 0.632 0.936
I 0.936 0.861 0.632
```

Total magnetic moment: 0.805 Bohr magnetons per cell
Uncorrected energy: -0.184 hartree per atom

Entry 7:
A plane-wave DFT calculation with GGA-PBEsol was carried out for a geometry-optimized InS2N structure. Values from VASP.

```
&SYSTEM
  ibrav = 0, nat = 8, ntyp = 3
/
ATOMIC_SPECIES
In 114.82 In.upf
S 32.06 S.upf
N 14.01 N.upf
CELL_PARAMETERS angstrom
-2.564 2.564 5.540
2.564 -2.564 5.540
2.564 2.564 -5.540
ATOMIC_POSITIONS crystal
In 0.000 0.000 0.000
In 0.750 0.250 0.500
S 0.255 0.625 0.130
S 0.375 0.505 0.630
S 0.495 0.125 0.870
S 0.875 0.745 0.370
N 0.250 0.750 0.500
N 0.500 0.500 0.000
```

Total magnetic moment: 0.001 Bohr magnetons per cell
Distance to the lowest polymorph of the same formula: 0.249 eV per atom

Entry 8:
A plane-wave DFT calculation with GGA-PBEsol was carried out for a geometry-optimized In2TcSbO structure. Values from VASP.

```
&SYSTEM
  ibrav = 0, nat = 5, ntyp = 4
/
ATOMIC_SPECIES
In 114.82 In.upf
Tc 98.00 Tc.upf
Sb 121.76 Sb.upf
O 16.00 O.upf
CELL_PARAMETERS angstrom
5.128 0.000 0.000
0.000 5.128 0.000
0.000 0.000 4.903
ATOMIC_POSITIONS crystal
In 0.000 0.500 0.000
In 0.500 0.000 0.000
Tc 0.000 0.000 0.000
Sb 0.000 0.000 0.500
O 0.500 0.500 0.500
```

Total magnetic moment: 1.245 Bohr magnetons per cell
Uncorrected energy: -0.179 hartree per atom